# 1
Below is a geometry-optimized HfBeNb2 structure, with properties calculated at the GGA-PBE level.

a b c (Å): 7.4373 7.4373 5.1100
angles (deg): 90.00 90.00 90.00
Space group I-42d (No. 122)
Asymmetric unit:
Hf 0.0000 0.0000 0.0000 [4 per cell]
Be 0.0000 0.0000 0.5000 [4 per cell]
Nb 0.2026 0.2500 0.6250 [8 per cell]

## Properties
Density of states at the Fermi level: 12.38 states/eV/cell
VASP energy: -8.071 eV/atom

=====

# 2
Below is a geometry-optimized Pr3SiI2 structure, with properties calculated at the GGA-PBE level.

a b c (Å): 7.7134 13.3562 8.0722
angles (deg): 90.00 108.44 90.00
Space group C2/m (No. 12)
Asymmetric unit:
Pr 0.2029 0.0000 0.1988 [4 per cell]
Pr 0.2505 0.1813 0.7964 [8 per cell]
Si 0.0000 0.1678 0.0000 [4 per cell]
I 0.0000 0.0000 0.5000 [2 per cell]
I 0.0000 0.3401 0.5000 [4 per cell]
I 0.0000 0.5000 0.0000 [2 per cell]

## Properties
Density of states at the Fermi level: 11.54 states/eV/cell
VASP energy: -4.752 eV/atom

=====

# 3
Below is a geometry-optimized Si2TcPdI structure, with properties calculated at the GGA-PBE level.

a b c (Å): 4.5285 4.5285 5.7594
angles (deg): 90.00 90.00 90.00
Space group P4/mmm (No. 123)
Asymmetric unit:
Si 0.0000 0.5000 0.0000 [2 per cell]
Tc 0.0000 0.0000 0.0000 [1 per cell]
Pd 0.5000 0.5000 0.5000 [1 per cell]
I 0.0000 0.0000 0.5000 [1 per cell]

## Properties
Density of states at the Fermi level: 3.36 states/eV/cell
VASP energy: -4.934 eV/atom

=====

# 4
Below is a geometry-optimized Dy2HoTh4 structure, with properties calculated at the GGA-PBE level.

a b c (Å): 5.6737 5.6737 16.3534
angles (deg): 90.00 90.00 90.00
Space group I4/mmm (No. 139)
Asymmetric unit:
Dy 0.0000 0.0000 0.1144 [4 per cell]
Ho 0.0000 0.0000 0.5000 [2 per cell]
Th 0.0000 0.0000 0.3133 [4 per cell]
Th 0.0000 0.5000 0.0000 [4 per cell]

## Properties
Density of states at the Fermi level: 33.54 states/eV/cell
VASP energy: -5.235 eV/atom

=====

# 5
Below is a geometry-optimized ZrSbMo2 structure, with properties calculated at the GGA-PBE level.

a b c (Å): 3.5290 4.5561 9.2086
angles (deg): 90.00 90.00 90.00
Space group Immm (No. 71)
Asymmetric unit:
Zr 0.0000 0.0000 0.0000 [2 per cell]
Sb 0.0000 0.0000 0.5000 [2 per cell]
Mo 0.0000 0.5000 0.2565 [4 per cell]

## Properties
Density of states at the Fermi level: 5.92 states/eV/cell
VASP energy: -8.543 eV/atom

=====

# 6
Below is a geometry-optimized CaTa2Os structure, with properties calculated at the GGA-PBE level.

a b c (Å): 3.1432 3.1432 8.3767
angles (deg): 90.00 90.00 90.00
Space group P4mm (No. 99)
Asymmetric unit:
Ca 0.0000 0.0000 0.0000 [1 per cell]
Ta 0.0000 0.0000 0.4272 [1 per cell]
Ta 0.5000 0.5000 0.6546 [1 per cell]
Os 0.5000 0.5000 0.2580 [1 per cell]

## Properties
Density of states at the Fermi level: 3.72 states/eV/cell
VASP energy: -9.032 eV/atom

=====

# 7
Below is a geometry-optimized LiCa structure, with properties calculated at the GGA-PBE level.

a b c (Å): 12.0714 12.0714 3.5303
angles (deg): 90.00 90.00 90.00
Space group I4/m (No. 87)
Asymmetric unit:
Li 0.0749 0.6201 0.0000 [8 per cell]
Ca 0.1229 0.1766 0.0000 [8 per cell]

## Properties
Density of states at the Fermi level: 12.83 states/eV/cell
VASP energy: -1.819 eV/atom

=====

# 8
Below is a geometry-optimized TbTmPdRu structure, with properties calculated at the GGA-PBE level.

a b c (Å): 3.4341 3.4341 6.8869
angles (deg): 90.00 90.00 90.00
Space group P4mm (No. 99)
Asymmetric unit:
Tb 0.0000 0.0000 0.0000 [1 per cell]
Tm 0.0000 0.0000 0.4803 [1 per cell]
Pd 0.5000 0.5000 0.7323 [1 per cell]
Ru 0.5000 0.5000 0.2447 [1 per cell]

## Properties
Density of states at the Fermi level: 1.74 states/eV/cell
VASP energy: -6.599 eV/atom

=====

# 9
Below is a geometry-optimized SmHo2Tl2 structure, with properties calculated at the GGA-PBE level.

a b c (Å): 3.7803 5.4198 14.1523
angles (deg): 90.00 97.70 90.00
Space group P2_1/m (No. 11)
Asymmetric unit:
Sm 0.1475 0.2500 0.2976 [2 per cell]
Ho 0.0497 0.7500 0.0994 [2 per cell]
Ho 0.2372 0.7500 0.4746 [2 per cell]
Tl 0.3562 0.2500 0.7108 [2 per cell]
Tl 0.4522 0.7500 0.9057 [2 per cell]

## Properties
Density of states at the Fermi level: 10.38 states/eV/cell
VASP energy: -4.001 eV/atom

=====

# 10
Below is a geometry-optimized Tb3Ag structure, with properties calculated at the GGA-PBE level.

a b c (Å): 12.1899 12.1899 6.1920
angles (deg): 90.00 90.00 90.00
Space group I-4 (No. 82)
Asymmetric unit:
Tb 0.0365 0.3611 0.4719 [8 per cell]
Tb 0.0799 0.8861 0.2650 [8 per cell]
Tb 0.1705 0.7765 0.7536 [8 per cell]
Ag 0.0493 0.2985 0.9790 [8 per cell]

## Properties
Density of states at the Fermi level: 52.68 states/eV/cell
VASP energy: -4.250 eV/atom

=====

# 11
Below is a geometry-optimized ZnNi2 structure, with properties calculated at the GGA-PBE level.

a b c (Å): 2.5444 2.5444 22.4927
angles (deg): 90.00 90.00 90.00
Space group I4_1/amd (No. 141, origin choice 2)
Asymmetric unit:
Zn 0.0000 0.2500 0.3750 [4 per cell]
Ni 0.0000 0.2500 0.7952 [8 per cell]

## Properties
Density of states at the Fermi level: 15.76 states/eV/cell
VASP energy: -4.233 eV/atom

=====

# 12
Below is a geometry-optimized KZnCu2 structure, with properties calculated at the GGA-PBE level.

a b c (Å): 2.8561 5.5319 10.0284
angles (deg): 90.00 90.00 90.00
Space group Immm (No. 71)
Asymmetric unit:
K 0.0000 0.0000 0.0000 [2 per cell]
Zn 0.0000 0.0000 0.5000 [2 per cell]
Cu 0.0000 0.5000 0.2024 [4 per cell]

## Properties
Density of states at the Fermi level: 2.65 states/eV/cell
VASP energy: -2.208 eV/atom

=====

# 13
Below is a geometry-optimized AlSiPN4 structure, with properties calculated at the GGA-PBE level.

a b c (Å): 10.3161 2.7700 4.6630
angles (deg): 90.00 115.90 90.00
Space group Cm (No. 8)
Asymmetric unit:
Al 0.0000 0.0000 0.0000 [2 per cell]
Si 0.2226 0.5000 0.7038 [2 per cell]
P 0.2781 0.0000 0.2762 [2 per cell]
N 0.1435 0.0000 0.4378 [2 per cell]
N 0.1463 0.5000 0.9829 [2 per cell]
N 0.3583 0.0000 0.0117 [2 per cell]
N 0.3648 0.5000 0.5308 [2 per cell]

## Properties
Density of states at the Fermi level: 0.00 states/eV/cell
VASP energy: -7.410 eV/atom

=====

# 14
Below is a geometry-optimized Tb6HgSe5 structure, with properties calculated at the GGA-PBE level.

a b c (Å): 7.1881 12.4029 7.1519
angles (deg): 90.00 109.38 90.00
Space group C2/m (No. 12)
Asymmetric unit:
Tb 0.2468 0.0000 0.2503 [4 per cell]
Tb 0.2481 0.1685 0.7492 [8 per cell]
Hg 0.0000 0.5000 0.0000 [2 per cell]
Se 0.0000 0.0000 0.5000 [2 per cell]
Se 0.0000 0.1661 0.0000 [4 per cell]
Se 0.0000 0.3332 0.5000 [4 per cell]

## Properties
Density of states at the Fermi level: 7.96 states/eV/cell
VASP energy: -5.357 eV/atom

=====

# 15
Below is a geometry-optimized Tl2In3Pb4 structure, with properties calculated at the GGA-PBE level.

a b c (Å): 16.3015 9.9482 6.9068
angles (deg): 90.00 101.62 90.00
Space group C2/c (No. 15)
Asymmetric unit:
Tl 0.1735 0.1622 0.3401 [8 per cell]
In 0.0000 0.0035 0.7500 [4 per cell]
In 0.1554 0.4951 0.3273 [8 per cell]
Pb 0.0008 0.3171 0.4999 [8 per cell]
Pb 0.1735 0.1778 0.8329 [8 per cell]

## Properties
Density of states at the Fermi level: 17.44 states/eV/cell
VASP energy: -3.048 eV/atom

=====

# 16
Below is a geometry-optimized Sm2BeGa3Pt6 structure, with properties calculated at the GGA-PBE level.

a b c (Å): 15.7379 6.7873 4.1064
angles (deg): 90.00 92.76 90.00
Space group C2/m (No. 12)
Asymmetric unit:
Sm 0.1433 0.0000 0.4864 [4 per cell]
Be 0.0000 0.5000 0.5000 [2 per cell]
Ga 0.0000 0.0000 0.0000 [2 per cell]
Ga 0.2500 0.2500 0.0000 [4 per cell]
Pt 0.0853 0.3019 0.9288 [8 per cell]
Pt 0.1795 0.5000 0.4595 [4 per cell]

## Properties
Density of states at the Fermi level: 8.53 states/eV/cell
VASP energy: -5.529 eV/atom

=====

# 17
Below is a geometry-optimized Ba2SrAs structure, with properties calculated at the GGA-PBE level.

a b c (Å): 8.4752 8.4752 8.4752
angles (deg): 90.00 90.00 90.00
Space group F-43m (No. 216)
Asymmetric unit:
Ba 0.0000 0.0000 0.0000 [4 per cell]
Ba 0.2500 0.2500 0.2500 [4 per cell]
Sr 0.2500 0.2500 0.7500 [4 per cell]
As 0.0000 0.0000 0.5000 [4 per cell]

## Properties
Density of states at the Fermi level: 17.96 states/eV/cell
VASP energy: -2.639 eV/atom

=====

# 18
Below is a geometry-optimized GeTeNO2 structure, with properties calculated at the GGA-PBE level.

a b c (Å): 3.7721 3.7721 4.0334
angles (deg): 90.00 90.00 90.00
Space group P4/mmm (No. 123)
Asymmetric unit:
Ge 0.0000 0.0000 0.0000 [1 per cell]
Te 0.5000 0.5000 0.5000 [1 per cell]
N 0.0000 0.0000 0.5000 [1 per cell]
O 0.0000 0.5000 0.0000 [2 per cell]

## Properties
Density of states at the Fermi level: 1.29 states/eV/cell
VASP energy: -5.282 eV/atom

=====

# 19
Below is a geometry-optimized LiTb2US5 structure, with properties calculated at the GGA-PBE level.

a b c (Å): 3.8774 16.2481 11.8241
angles (deg): 90.00 90.00 90.00
Space group Cmc2_1 (No. 36)
Asymmetric unit:
Li 0.0000 0.0162 0.0000 [4 per cell]
Tb 0.0000 0.3743 0.8204 [4 per cell]
Tb 0.0000 0.3915 0.2123 [4 per cell]
U 0.0000 0.3002 0.5293 [4 per cell]
S 0.0000 0.0014 0.3056 [4 per cell]
S 0.0000 0.1338 0.5263 [4 per cell]
S 0.0000 0.1897 0.8672 [4 per cell]
S 0.0000 0.2122 0.1907 [4 per cell]
S 0.0000 0.4524 0.5966 [4 per cell]

## Properties
Density of states at the Fermi level: 27.48 states/eV/cell
VASP energy: -6.453 eV/atom

=====

# 20
Below is a geometry-optimized Sr2LiBrN structure, with properties calculated at the GGA-PBE level.

a b c (Å): 5.3404 5.3404 4.1313
angles (deg): 90.00 90.00 90.00
Space group P4/mmm (No. 123)
Asymmetric unit:
Sr 0.0000 0.5000 0.0000 [2 per cell]
Li 0.0000 0.0000 0.5000 [1 per cell]
Br 0.5000 0.5000 0.5000 [1 per cell]
N 0.0000 0.0000 0.0000 [1 per cell]

## Properties
Density of states at the Fermi level: 1.92 states/eV/cell
VASP energy: -3.850 eV/atom